An optimized crystal structure of Pm2Nd5YSc. Source: Alexandria, functional PBE.

Properties
- Fermi-level density of states (states/eV/cell) = 25.164
- crystal system = orthorhombic
- raw total energy (eV/atom) = -5.0080
- energy relative to the elements (eV/atom) = 0.118

Cell: 5.438 11.397 10.234 Å, 90.00 90.00 103.80°
Positions (direct):
Pm (0.884, 0.768, 0.760)
Pm (0.116, 0.233, 0.756)
Pm (0.116, 0.232, 0.260)
Pm (0.884, 0.767, 0.256)
Nd (0.373, 0.745, 0.008)
Nd (0.723, 0.446, 0.820)
Nd (0.500, 0.000, 0.758)
Nd (0.277, 0.555, 0.696)
Nd (0.000, 0.001, 0.508)
Nd (0.627, 0.255, 0.508)
Nd (0.277, 0.554, 0.320)
Nd (0.500, 0.000, 0.258)
Nd (0.723, 0.445, 0.196)
Nd (0.000, 0.999, 0.008)
Y (0.603, 0.206, 0.008)
Y (0.397, 0.794, 0.508)
Sc (0.788, 0.575, 0.508)
Sc (0.212, 0.425, 0.008)

=====

An optimized crystal structure of Ag4PRh. Source: Alexandria, functional PBE.

Properties
- Fermi-level density of states (states/eV/cell) = 5.441
- crystal system = cubic
- raw total energy (eV/atom) = -3.4296
- energy relative to the elements (eV/atom) = 0.598

Cell: 5.357 5.357 5.357 Å, 60.00 60.00 60.00°
Positions (direct):
Ag (0.625, 0.625, 0.124)
Ag (0.625, 0.124, 0.625)
Ag (0.625, 0.625, 0.625)
Ag (0.124, 0.625, 0.625)
P (0.250, 0.250, 0.250)
Rh (0.000, 0.000, 0.000)

=====

An optimized crystal structure of Sm3SbRh3. Source: Alexandria, functional PBE.

Properties
- Fermi-level density of states (states/eV/cell) = 9.491
- crystal system = orthorhombic
- raw total energy (eV/atom) = -6.5657
- uncorrected formation energy (eV/atom) = -0.804

Cell: 4.448 5.682 13.461 Å, 90.00 90.00 113.04°
Positions (direct):
Sm (0.206, 0.412, 0.895)
Sm (0.794, 0.588, 0.105)
Sm (0.206, 0.412, 0.605)
Sm (0.794, 0.588, 0.395)
Sm (0.486, 0.972, 0.750)
Sm (0.514, 0.028, 0.250)
Sb (0.500, 0.000, 0.000)
Sb (0.500, 0.000, 0.500)
Rh (0.914, 0.829, 0.906)
Rh (0.086, 0.171, 0.094)
Rh (0.914, 0.829, 0.594)
Rh (0.086, 0.171, 0.406)
Rh (0.757, 0.513, 0.750)
Rh (0.243, 0.487, 0.250)

=====

An optimized crystal structure of RbBr3Cl12. Source: Alexandria, functional PBE.

Properties
- Fermi-level density of states (states/eV/cell) = 32.324
- crystal system = trigonal
- raw total energy (eV/atom) = -1.8529
- uncorrected formation energy (eV/atom) = -0.094

Cell: 10.743 10.743 15.263 Å, 69.40 69.40 60.00°
Positions (direct):
Rb (0.064, 0.064, 0.807)
Rb (0.564, 0.564, 0.307)
Br (0.672, 0.365, 0.000)
Br (0.172, 0.463, 0.500)
Br (0.865, 0.172, 0.500)
Br (0.365, 0.963, 0.000)
Br (0.963, 0.672, 0.000)
Br (0.463, 0.865, 0.500)
Cl (0.928, 0.232, 0.006)
Cl (0.110, 0.378, 0.669)
Cl (0.986, 0.922, 0.496)
Cl (0.736, 0.379, 0.832)
Cl (0.236, 0.553, 0.332)
Cl (0.486, 0.096, 0.996)
Cl (0.610, 0.343, 0.169)
Cl (0.922, 0.596, 0.496)
Cl (0.428, 0.335, 0.506)
Cl (0.843, 0.110, 0.669)
Cl (0.879, 0.236, 0.332)
Cl (0.335, 0.732, 0.506)
Cl (0.096, 0.422, 0.996)
Cl (0.835, 0.928, 0.006)
Cl (0.379, 0.053, 0.832)
Cl (0.343, 0.878, 0.169)
Cl (0.878, 0.610, 0.169)
Cl (0.422, 0.486, 0.996)
Cl (0.732, 0.428, 0.506)
Cl (0.053, 0.736, 0.832)
Cl (0.553, 0.879, 0.332)
Cl (0.232, 0.835, 0.006)
Cl (0.378, 0.843, 0.669)
Cl (0.596, 0.986, 0.496)

=====

An optimized crystal structure of NdMgSi2. Source: Alexandria, functional PBE.

Properties
- Fermi-level density of states (states/eV/cell) = 5.303
- energy relative to the lowest polymorph listed for this composition (kJ/mol of formula units) = 20
- crystal system = orthorhombic
- raw total energy (eV/atom) = -4.7810
- uncorrected formation energy (eV/atom) = -0.479

Cell: 3.857 8.073 10.749 Å, 90.00 90.00 90.00°
Positions (direct):
Nd (0.750, 0.873, 0.143)
Nd (0.250, 0.127, 0.857)
Nd (0.750, 0.373, 0.357)
Nd (0.250, 0.627, 0.643)
Mg (0.250, 0.500, 0.110)
Mg (0.250, 0.000, 0.390)
Mg (0.750, 0.500, 0.890)
Mg (0.750, 0.000, 0.610)
Si (0.750, 0.830, 0.820)
Si (0.250, 0.170, 0.180)
Si (0.750, 0.330, 0.680)
Si (0.250, 0.670, 0.320)
Si (0.750, 0.754, 0.440)
Si (0.250, 0.746, 0.940)
Si (0.750, 0.254, 0.060)
Si (0.250, 0.246, 0.560)

=====

An optimized crystal structure of Ac3YSn2. Source: Alexandria, functional PBE.

Properties
- Fermi-level density of states (states/eV/cell) = 16.950
- crystal system = orthorhombic
- raw total energy (eV/atom) = -4.9796
- energy relative to the elements (eV/atom) = -0.514

Cell: 6.956 6.948 10.287 Å, 109.74 109.76 90.00°
Positions (direct):
Ac (0.432, 0.677, 0.354)
Ac (0.568, 0.323, 0.646)
Ac (0.078, 0.823, 0.646)
Ac (0.922, 0.177, 0.354)
Ac (0.500, 0.750, 0.000)
Ac (0.500, 0.250, 0.000)
Y (0.000, 0.250, 0.000)
Y (0.000, 0.750, 0.000)
Sn (0.365, 0.131, 0.263)
Sn (0.635, 0.869, 0.737)
Sn (0.102, 0.369, 0.737)
Sn (0.898, 0.631, 0.263)

=====

An optimized crystal structure of LiPtW2. Source: Alexandria, functional PBE.

Properties
- Fermi-level density of states (states/eV/cell) = 2.795
- energy relative to the lowest polymorph listed for this composition (kJ/mol of formula units) = 16
- crystal system = monoclinic
- raw total energy (eV/atom) = -8.3975
- energy relative to the elements (eV/atom) = 0.068

Cell: 5.116 5.116 4.463 Å, 76.81 76.81 32.74°
Positions (direct):
Li (0.750, 0.750, 0.750)
Pt (0.250, 0.250, 0.250)
W (0.990, 0.990, 0.007)
W (0.510, 0.510, 0.493)

=====

An optimized crystal structure of Nd6ThIn5. Source: Alexandria, functional PBE.

Properties
- Fermi-level density of states (states/eV/cell) = 13.030
- crystal system = orthorhombic
- raw total energy (eV/atom) = -4.5094
- energy relative to the elements (eV/atom) = -0.366

Cell: 5.115 9.040 9.311 Å, 119.04 105.94 90.00°
Positions (direct):
Nd (0.830, 0.570, 0.660)
Nd (0.830, 0.090, 0.660)
Nd (0.500, 0.732, 0.000)
Nd (0.500, 0.268, 0.000)
Nd (0.170, 0.910, 0.340)
Nd (0.170, 0.430, 0.340)
Th (0.000, 0.000, 0.000)
In (0.654, 0.154, 0.308)
In (0.325, 0.325, 0.651)
In (0.000, 0.500, 0.000)
In (0.675, 0.675, 0.349)
In (0.346, 0.846, 0.692)

=====

An optimized crystal structure of BaZrIn. Source: Alexandria, functional PBE.

Properties
- Fermi-level density of states (states/eV/cell) = 3.672
- energy relative to the lowest polymorph listed for this composition (kJ/mol of formula units) = 3
- crystal system = orthorhombic
- raw total energy (eV/atom) = -4.2943
- energy relative to the elements (eV/atom) = 0.109

Cell: 6.837 6.837 6.837 Å, 150.06 142.09 49.04°
Positions (direct):
Ba (0.995, 0.995, 0.000)
In (0.296, 0.296, 0.000)
Zr (0.709, 0.709, 0.000)

=====

An optimized crystal structure of Ca2Cu2AgPd5. Source: Alexandria, functional PBE.

Properties
- Fermi-level density of states (states/eV/cell) = 7.201
- crystal system = tetragonal
- raw total energy (eV/atom) = -4.5186
- energy relative to the elements (eV/atom) = -0.418

Cell: 3.947 9.452 9.452 Å, 90.00 90.00 90.00°
Positions (direct):
Ca (0.000, 0.677, 0.177)
Ca (0.000, 0.323, 0.823)
Ca (0.000, 0.177, 0.323)
Ca (0.000, 0.823, 0.677)
Cu (0.000, 0.120, 0.620)
Cu (0.000, 0.880, 0.380)
Cu (0.000, 0.620, 0.880)
Cu (0.000, 0.380, 0.120)
Ag (0.000, 0.000, 0.000)
Ag (0.000, 0.500, 0.500)
Pd (0.500, 0.208, 0.068)
Pd (0.500, 0.792, 0.932)
Pd (0.500, 0.068, 0.792)
Pd (0.500, 0.708, 0.432)
Pd (0.500, 0.932, 0.208)
Pd (0.500, 0.292, 0.568)
Pd (0.500, 0.568, 0.708)
Pd (0.500, 0.432, 0.292)
Pd (0.500, 0.500, 0.000)
Pd (0.500, 0.000, 0.500)

=====

An optimized crystal structure of Pm4YHo6. Source: Alexandria, functional PBE.

Properties
- Fermi-level density of states (states/eV/cell) = 14.119
- energy relative to the lowest polymorph listed for this composition (kJ/mol of formula units) = 0
- crystal system = tetragonal
- raw total energy (eV/atom) = -4.5099
- energy relative to the elements (eV/atom) = 0.302

Cell: 9.735 9.735 9.735 Å, 57.52 140.22 140.22°
Positions (direct):
Pm (0.000, 0.635, 0.013)
Pm (0.378, 0.365, 0.365)
Pm (0.000, 0.013, 0.635)
Pm (0.622, 0.987, 0.987)
Y (0.000, 0.000, 0.000)
Ho (0.000, 0.805, 0.448)
Ho (0.000, 0.448, 0.805)
Ho (0.357, 0.552, 0.552)
Ho (0.500, 0.500, 0.000)
Ho (0.643, 0.195, 0.195)
Ho (0.500, 0.000, 0.500)

=====

An optimized crystal structure of PuMgHO5. Source: Alexandria, functional PBE.

Properties
- crystal system = monoclinic
- raw total energy (eV/atom) = -7.4466

Cell: 5.515 5.515 7.749 Å, 105.01 105.01 110.29°
Positions (direct):
Pu (0.000, 0.000, 0.500)
Pu (0.000, 0.000, 0.000)
Mg (0.337, 0.663, 0.250)
Mg (0.663, 0.337, 0.750)
H (0.585, 0.415, 0.250)
H (0.415, 0.585, 0.750)
O (0.111, 0.889, 0.250)
O (0.889, 0.111, 0.750)
O (0.954, 0.306, 0.135)
O (0.046, 0.694, 0.865)
O (0.694, 0.046, 0.365)
O (0.306, 0.954, 0.635)
O (0.707, 0.600, 0.410)
O (0.293, 0.400, 0.590)
O (0.400, 0.293, 0.090)
O (0.600, 0.707, 0.910)

=====

- Which formula does entry 3 have?
  Sm3SbRh3

=====

- raw total energy of number 5 (NdMgSi2)?
  -4.7810 eV/atom

=====

What did the first record say?
An optimized crystal structure of Pm2Nd5YSc. Source: Alexandria, functional PBE.

Properties
- Fermi-level density of states (states/eV/cell) = 25.164
- crystal system = orthorhombic
- raw total energy (eV/atom) = -5.0080
- energy relative to the elements (eV/atom) = 0.118

Cell: 5.438 11.397 10.234 Å, 90.00 90.00 103.80°
Positions (direct):
Pm (0.884, 0.768, 0.760)
Pm (0.116, 0.233, 0.756)
Pm (0.116, 0.232, 0.260)
Pm (0.884, 0.767, 0.256)
Nd (0.373, 0.745, 0.008)
Nd (0.723, 0.446, 0.820)
Nd (0.500, 0.000, 0.758)
Nd (0.277, 0.555, 0.696)
Nd (0.000, 0.001, 0.508)
Nd (0.627, 0.255, 0.508)
Nd (0.277, 0.554, 0.320)
Nd (0.500, 0.000, 0.258)
Nd (0.723, 0.445, 0.196)
Nd (0.000, 0.999, 0.008)
Y (0.603, 0.206, 0.008)
Y (0.397, 0.794, 0.508)
Sc (0.788, 0.575, 0.508)
Sc (0.212, 0.425, 0.008)